Entry 1:
Below is a geometry-optimized Eu2PbCl structure, with properties calculated at the GGA-PBE level.

Unit cell a=3.7302 b=3.7302 c=8.5006 alpha=90.00 beta=90.00 gamma=90.00
Each line ends with the local moment (μB).
Positions (direct):
Cl (0.5000, 0.5000, 0.0000)  -0.02
Eu (0.0000, 0.0000, 0.7530)  6.98
Eu (0.0000, 0.0000, 0.2470)  6.98
Pb (0.5000, 0.5000, 0.5000)  -0.04

- space-group type = P4/mmm (123)
- formation energy (no corrections) (eV per atom) = -1.05
- energy above the most stable polymorph in this dataset (eV per atom) = 0.043

Entry 2:
Below is a geometry-optimized Li2InPd5 structure, with properties calculated at the GGA-PBE level.

Unit cell a=5.4324 b=5.4324 c=5.4324 alpha=108.79 beta=108.79 gamma=110.84
Positions (direct):
Pd (0.7778, 0.2780, 0.0000)
Pd (0.2777, 0.2775, 0.0000)
Pd (0.7775, 0.7778, 0.4995)
Pd (0.2780, 0.2782, 0.5004)
Pd (0.2782, 0.7775, 0.0000)
Li (0.2776, 0.7778, 0.5001)
Li (0.7775, 0.2777, 0.4999)
In (0.7787, 0.7785, 0.0000)

- space-group type = I4mm (107)
- energy above the most stable polymorph in this dataset (eV per atom) = 0.000

Entry 3:
Below is a geometry-optimized SbPtW2 structure, with properties calculated at the GGA-PBE level.

Unit cell a=4.9830 b=4.9830 c=4.9830 alpha=131.32 beta=131.32 gamma=71.30
Positions (direct):
W (0.2500, 0.7500, 0.5000)
W (0.0000, 0.0000, 0.0000)
Sb (0.7500, 0.2500, 0.5000)
Pt (0.5000, 0.5000, 0.0000)

- space-group type = I-4m2 (119)
- formation energy (no corrections) (eV per atom) = 0.38

Entry 4:
Below is a geometry-optimized TlNiHg2 structure, with properties calculated at the GGA-PBE level.

Unit cell a=4.9512 b=4.9512 c=4.9512 alpha=60.00 beta=60.00 gamma=60.00
Positions (direct):
Ni (0.5000, 0.5000, 0.5000)
Hg (0.2500, 0.2500, 0.2500)
Hg (0.0000, 0.0000, 0.0000)
Tl (0.7500, 0.7500, 0.7500)

- space-group type = F-43m (216)
- energy above the most stable polymorph in this dataset (eV per atom) = 0.259

Entry 5:
Below is a geometry-optimized PmNd2SmS4 structure, with properties calculated at the GGA-PBE level.

Unit cell a=4.0137 b=7.0297 c=7.0255 alpha=70.89 beta=90.00 gamma=90.00
Positions (direct):
S (0.0000, 0.7459, 0.7503)
S (0.5000, 0.2549, 0.7472)
S (0.0000, 0.2541, 0.2497)
S (0.5000, 0.7451, 0.2528)
Nd (0.0000, 0.0000, 0.0000)
Nd (0.5000, 0.0000, 0.5000)
Sm (0.0000, 0.5000, 0.5000)
Pm (0.5000, 0.5000, 0.0000)

- space-group type = P2/m (10)
- formation energy (no corrections) (eV per atom) = -2.03

Entry 6:
Below is a geometry-optimized Sc2CoI structure, with properties calculated at the GGA-PBE level.

Unit cell a=8.4911 b=8.4911 c=8.4911 alpha=26.24 beta=26.24 gamma=26.24
Positions (direct):
Co (0.5000, 0.5000, 0.5000)
Sc (0.1163, 0.1163, 0.1163)
Sc (0.8837, 0.8837, 0.8837)
I (0.0000, 0.0000, 0.0000)

- space-group type = R-3m (166)
- formation energy (no corrections) (eV per atom) = -0.33
- energy above the most stable polymorph in this dataset (eV per atom) = 0.000

Entry 7:
Below is a geometry-optimized Pm2Sc4Si3O2 structure, with properties calculated at the GGA-PBE level.

Unit cell a=4.2853 b=4.2853 c=11.9798 alpha=100.30 beta=100.30 gamma=90.00
Each line ends with the local moment (μB).
Positions (direct):
O (0.5864, 0.5864, 0.1727)  0.00
O (0.4136, 0.4136, 0.8273)  0.00
Si (0.8326, 0.8326, 0.6651)  -0.01
Si (0.0000, 0.0000, 0.0000)  0.00
Si (0.1674, 0.1674, 0.3349)  -0.01
Sc (0.9228, 0.4229, 0.8457)  0.02
Sc (0.4228, 0.9229, 0.8457)  0.02
Sc (0.0772, 0.5771, 0.1543)  0.02
Sc (0.5772, 0.0771, 0.1543)  0.02
Pm (0.3051, 0.3051, 0.6103)  0.09
Pm (0.6949, 0.6949, 0.3897)  0.09

- space-group type = I4/mmm (139)
- formation energy (no corrections) (eV per atom) = -1.58

Entry 8:
Below is a geometry-optimized MnBiPdPb2 structure, with properties calculated at the GGA-PBE level.

Unit cell a=6.0161 b=5.0568 c=6.0161 alpha=90.00 beta=90.00 gamma=90.00
Each line ends with the local moment (μB).
Positions (direct):
Pb (0.0000, 0.0000, 0.5000)  -0.06
Pb (0.5000, 0.0000, 0.0000)  -0.10
Mn (0.5000, 0.5000, 0.5000)  4.41
Pd (0.0000, 0.5000, 0.0000)  0.01
Bi (0.0000, 0.0000, 0.0000)  0.01

- space-group type = P4/mmm (123)

Entry 9:
Below is a geometry-optimized AcZn4Ge2 structure, with properties calculated at the GGA-PBE level.

Unit cell a=4.5266 b=4.5266 c=8.3537 alpha=74.28 beta=74.28 gamma=60.00
Positions (direct):
Ac (0.0000, 0.0000, 0.0000)
Zn (0.5602, 0.5602, 0.3193)
Zn (0.4398, 0.4398, 0.6807)
Zn (0.8591, 0.8591, 0.4228)
Zn (0.1409, 0.1409, 0.5772)
Ge (0.2501, 0.2501, 0.2496)
Ge (0.7499, 0.7499, 0.7504)

- space-group type = R-3m (166)
- energy above the most stable polymorph in this dataset (eV per atom) = 0.072

Entry 10:
Below is a geometry-optimized ZrCoPtC2 structure, with properties calculated at the GGA-PBE level.

Unit cell a=4.1910 b=5.1601 c=4.1910 alpha=90.00 beta=90.00 gamma=90.00
Each line ends with the local moment (μB).
Positions (direct):
Zr (0.0000, 0.0000, 0.0000)  0.00
C (0.0000, 0.0000, 0.5000)  0.01
C (0.5000, 0.0000, 0.0000)  0.02
Co (0.5000, 0.5000, 0.5000)  0.11
Pt (0.0000, 0.5000, 0.0000)  0.06

- space-group type = P4/mmm (123)

Entry 11:
Below is a geometry-optimized NbNiMo2 structure, with properties calculated at the GGA-PBE level.

Unit cell a=4.4274 b=4.4274 c=4.4274 alpha=60.00 beta=60.00 gamma=60.00
Positions (direct):
Ni (0.0000, 0.0000, 0.0000)
Mo (0.2500, 0.2500, 0.2500)
Mo (0.7500, 0.7500, 0.7500)
Nb (0.5000, 0.5000, 0.5000)

- space-group type = Fm-3m (225)
- energy above the most stable polymorph in this dataset (eV per atom) = 0.000

Entry 12:
Below is a geometry-optimized Ba2Ca7Ac structure, with properties calculated at the GGA-PBE level.

Unit cell a=3.8708 b=7.2933 c=16.9641 alpha=102.41 beta=90.00 gamma=90.00
Positions (direct):
Ba (0.5000, 0.7081, 0.4161)
Ba (0.5000, 0.2919, 0.5839)
Ac (0.0000, 0.0000, 0.0000)
Ca (0.5000, 0.5000, 0.0000)
Ca (0.5000, 0.3416, 0.1907)
Ca (0.5000, 0.6584, 0.8093)
Ca (0.5000, 0.1508, 0.8093)
Ca (0.5000, 0.8492, 0.1907)
Ca (0.0000, 0.1817, 0.3633)
Ca (0.0000, 0.8183, 0.6367)

- space-group type = Cmmm (65)

| no. | total energy (eV per cell) | mass density (g/cm3) | Fermi-level density of states (states/eV per cell) |
| --- | --- | --- | --- |
| 1 | -30.29 | 7.67 | 1.35 |
| 2 | -36.02 | 8.90 | 4.64 |
| 3 | -34.55 | 16.64 | 4.77 |
| 4 | -7.15 | 12.85 | 1.63 |
| 5 | -51.72 | 6.31 | 5.21 |
| 6 | -22.64 | 4.34 | 0.10 |
| 7 | -78.37 | 4.57 | 7.70 |
| 8 | -20.92 | 7.12 | 4.79 |
| 9 | -19.89 | 7.48 | 3.68 |
| 10 | -29.17 | 6.77 | 8.21 |
| 11 | -36.69 | 9.29 | 7.49 |
| 12 | -21.03 | 2.78 | 14.16 |